Entry from Alexandria via LeMat-Bulk: a relaxed structure of BeCuSi2 (PBE).

Output
Formation energy from raw total energies in eV/atom: 0.31
VASP energy in hartree per atom: -0.16026

a b c (Å): 3.6039 2.6222 5.6909
angles (deg): 65.96 90.00 90.00
With the nearest neighbours (Å) after each atom.
Sites, in units of the cell vectors:
1 Be 0.5000 0.2500 0.2500  8 Si 2.51-2.58, 2 Cu 2.60, 2 Be 2.62
2 Si 0.0000 0.9863 0.0123  4 Si 2.47-2.73, 4 Be 2.51-2.58, 4 Cu 2.57-2.66
3 Si 0.0000 0.5137 0.4877  4 Si 2.47-2.73, 4 Be 2.51-2.58, 4 Cu 2.57-2.66
4 Cu 0.5000 0.7500 0.7500  8 Si 2.57-2.66, 2 Be 2.60, 2 Cu 2.62